Compound: Pr4In5Ag2
Source: Alexandria
Functional: PBE
Structure: optimized geometry

```
data_Pr4In5Ag2
_chemical_formula_sum 'Pr4 In5 Ag2'
_space_group_name_H-M_alt 'P 1 2/m 1'
_space_group_IT_number 10
_cell_length_a 8.0110
_cell_length_b 3.6315
_cell_length_c 10.3811
_cell_angle_alpha 90.00
_cell_angle_beta 94.26
_cell_angle_gamma 90.00
loop_
_space_group_symop_operation_xyz
'x,y,z'
'-x,-y,-z'
'-x,y,-z'
'x,-y,z'
loop_
_atom_site_label
_atom_site_type_symbol
_atom_site_fract_x
_atom_site_fract_y
_atom_site_fract_z
_atom_site_occupancy
Pr1 Pr 0.1676 0.0000 0.3804 1
Pr2 Pr 0.2674 0.0000 0.9432 1
In1 In 0.1924 0.5000 0.6643 1
In2 In 0.4394 0.5000 0.2017 1
In3 In 0.5000 0.5000 0.5000 1
Ag1 Ag 0.0615 0.5000 0.1337 1
```

Properties
Density   7.5 g cm⁻³
Crystal system   monoclinic
Magnetization   0.0 μB/f.u.
Total DFT energy (no corrections)   -42.750 eV per formula unit